Entry from the Alexandria database: a relaxed structure of Tm8Pb5Au (GGA-PBE).

VASP energy = -4.599 eV/atom
Formation energy = -0.485 eV/atom

Cell lengths 9.1640, 9.1640, 9.3125 Å; angles 90.00, 90.00, 90.00 degrees
With the nearest neighbours (Å) after each atom.
Space group I-4 (No. 82)
Asymmetric unit:
Tm (0.0688, 0.1909, 0.1981) x8  1 Au 2.94, 2 Pb 3.05-3.12
Tm (0.0727, 0.3237, 0.5484) x8  5 Pb 3.07-3.31, 1 Au 3.28
Pb (0.0000, 0.0000, 0.5000) x2  8 Tm 3.07-3.37
Pb (0.1215, 0.2490, 0.8723) x8  8 Tm 3.05-3.37
Au (0.0000, 0.5000, 0.2500) x2  8 Tm 2.94-3.28